VASP calculation (GGA-PBE) on crystalline Tb3Mg2ZnInGa2 at its relaxed geometry.

* space-group type: Amm2 (38)
* VASP energy: -31.4 eV per formula unit
* mass density: 6844 kg/m3
* crystal system: orthorhombic

abc: 4.5255 7.2847 7.2847
angles: 121.38 90.00 90.00
Last column: nearest neighbours and their distance in Å.
Fractional coordinates of all 9 atoms:
Ga 0.0000 0.6705 0.3427  1 Zn 2.69, 2 Mg 2.81-2.82
Ga 0.0000 0.3427 0.6705  1 Zn 2.69, 2 Mg 2.81-2.82
Mg 0.0000 0.2419 0.9943  2 Ga 2.81-2.82, 2 In 2.91, 1 Zn 3.09, 1 Mg 3.15
Mg 0.0000 0.9943 0.2419  2 Ga 2.81-2.82, 2 In 2.91, 1 Zn 3.09, 1 Mg 3.15
Zn 0.0000 0.7447 0.7447  2 Ga 2.69, 2 In 2.85
Tb 0.5000 0.5635 0.0050  4 Ga 3.09-3.13, 1 In 3.16, 2 Mg 3.23
Tb 0.5000 0.4501 0.4501  2 Zn 3.09, 4 Ga 3.10, 1 In 3.30
Tb 0.5000 0.0050 0.5635  4 Ga 3.09-3.13, 1 In 3.16, 2 Mg 3.23
In 0.5000 0.9873 0.9873  2 Zn 2.85, 4 Mg 2.91, 2 Tb 3.16